Entry 1:
Material: Sc6Ga3Au
Method: DFT, PBE
State: relaxed

Lattice parameters (Å, degrees): 8.7534 4.7478 10.3571 90.00 108.40 90.00
Sites, in units of the cell vectors:
Sc: 0.0366 0.2500 0.4061
Sc: 0.1412 0.7500 0.1897
Sc: 0.2428 0.2500 0.0006
Sc: 0.3586 0.7500 0.8255
Sc: 0.3720 0.2500 0.3342
Sc: 0.3889 0.2500 0.6246
Sc: 0.6111 0.7500 0.3754
Sc: 0.6280 0.7500 0.6658
Sc: 0.6414 0.2500 0.1745
Sc: 0.7572 0.7500 0.9994
Sc: 0.8588 0.2500 0.8103
Sc: 0.9634 0.7500 0.5939
Ga: 0.0385 0.7500 0.8885
Ga: 0.1284 0.2500 0.7127
Ga: 0.2845 0.7500 0.4814
Ga: 0.7155 0.2500 0.5186
Ga: 0.8716 0.7500 0.2873
Ga: 0.9615 0.2500 0.1115
Au: 0.4117 0.7500 0.1170
Au: 0.5883 0.2500 0.8830

## Properties
The crystal system is monoclinic. For the energy relative to the elements, the calculation gives -0.531 eV per atom. The total magnetic moment is 0.0 μB/cell.

Entry 2:
Material: AcY2Hf
Method: DFT, PBE
State: relaxed

Lattice parameters (Å, degrees): 12.4455 12.4455 12.4455 16.07 16.07 16.07
Sites, in units of the cell vectors:
Ac: 0.0000 0.0000 0.0000
Y: 0.4162 0.4162 0.4162
Y: 0.5838 0.5838 0.5838
Hf: 0.5000 0.5000 0.5000

## Properties
The crystal system is trigonal. For the energy relative to the elements, the calculation gives 0.509 eV per atom. The total magnetic moment is 0.0 μB/cell.

Entry 3:
Material: RbNdZnBr6
Method: DFT, PBE
State: relaxed

Lattice parameters (Å, degrees): 7.2595 7.2595 15.2800 90.00 90.00 120.00
Sites, in units of the cell vectors:
Rb: 0.0000 0.0000 0.0000
Rb: 0.0000 0.0000 0.5000
Nd: 0.3333 0.6667 0.2500
Nd: 0.6667 0.3333 0.7500
Zn: 0.3333 0.6667 0.7500
Zn: 0.6667 0.3333 0.2500
Br: 0.0249 0.3858 0.6455
Br: 0.0249 0.6391 0.8545
Br: 0.3609 0.3858 0.8545
Br: 0.3609 0.9751 0.6455
Br: 0.3858 0.0249 0.1455
Br: 0.3858 0.3609 0.3545
Br: 0.6142 0.6391 0.6455
Br: 0.6142 0.9751 0.8545
Br: 0.6391 0.0249 0.3545
Br: 0.6391 0.6142 0.1455
Br: 0.9751 0.3609 0.1455
Br: 0.9751 0.6142 0.3545

## Properties
The crystal system is trigonal. Its uncorrected formation energy is -1.4874 eV/atom. The total magnetic moment is 0.0 μB/cell.

| no. | Fermi-level density of states (states/eV/cell) |
| --- | --- |
| 1 | 17.8 |
| 2 | 7.3 |
| 3 | 0.0 |